1.
NaCoAs2Ru | PBE-GGA | optimized geometry

abc: 4.788 4.788 4.208
angles: 90.00 90.00 90.00
Fractional coordinates of all 5 atoms:
Na: 0.000 0.000 0.000
Co: 0.000 0.000 0.500
As: 0.000 0.500 0.000
As: 0.500 0.000 0.000
Ru: 0.500 0.500 0.500

Summary:
Size of the total moment (μB per formula unit): 3.4
Crystal system: tetragonal
Space group: P4/mmm, No. 123
E_form (meV/atom): 1755
Uncorrected energy (eV/cell): -18.2
Relative energy among the computed polymorphs (eV/atom): 2.116



2.
Ta2Ti3Mn3 | PBE-GGA | optimized geometry

abc: 8.910 8.910 8.910
angles: 160.12 150.72 35.64
Fractional coordinates of all 8 atoms:
Ta: 0.239 0.239 0.000
Ta: 0.761 0.761 0.000
Ti: 0.000 0.000 0.000
Ti: 0.386 0.886 0.500
Ti: 0.614 0.114 0.500
Mn: 0.120 0.620 0.500
Mn: 0.500 0.500 0.000
Mn: 0.880 0.380 0.500

Summary:
Size of the total moment (μB per formula unit): 0.0
Crystal system: orthorhombic
Space group: Immm, No. 71
E_form (meV/atom): -147
Uncorrected energy (eV/cell): -76.1



3.
Tb3PrTc | PBE-GGA | optimized geometry

abc: 5.420 5.420 5.420
angles: 90.00 90.00 90.00
Fractional coordinates of all 5 atoms:
Tb: 0.000 0.000 0.500
Tb: 0.000 0.500 0.000
Tb: 0.500 0.000 0.000
Pr: 0.500 0.500 0.500
Tc: 0.000 0.000 0.000

Summary:
Size of the total moment (μB per formula unit): 0.7
Crystal system: cubic
Space group: Pm-3m, No. 221
E_form (meV/atom): 126
Uncorrected energy (eV/cell): -28.4
Relative energy among the computed polymorphs (eV/atom): 0.169



4.
LiIn2Ag | PBE-GGA | optimized geometry

abc: 9.455 9.455 9.455
angles: 19.83 19.83 19.83
Fractional coordinates of all 4 atoms:
Li: 0.000 0.000 0.000
In: 0.251 0.251 0.251
In: 0.417 0.417 0.417
Ag: 0.834 0.834 0.834

Summary:
Size of the total moment (μB per formula unit): 0.0
Crystal system: trigonal
Space group: R3m, No. 160
E_form (meV/atom): -95
Uncorrected energy (eV/cell): -10.6



5.
CaCe3Co | PBE-GGA | optimized geometry

abc: 5.346 5.346 5.346
angles: 90.00 90.00 90.00
Fractional coordinates of all 5 atoms:
Ca: 0.000 0.000 0.000
Ce: 0.000 0.500 0.500
Ce: 0.500 0.000 0.500
Ce: 0.500 0.500 0.000
Co: 0.500 0.500 0.500

Summary:
Size of the total moment (μB per formula unit): 3.2
Crystal system: cubic
Space group: Pm-3m, No. 221
E_form (meV/atom): 86
Uncorrected energy (eV/cell): -26.5



6.
Mg2Pd8Pb | PBE-GGA | optimized geometry

abc: 7.549 7.549 7.549
angles: 146.36 128.27 63.14
Fractional coordinates of all 11 atoms:
Mg: 0.192 0.192 0.000
Mg: 0.808 0.808 0.000
Pd: 0.064 0.345 0.719
Pd: 0.206 0.000 0.206
Pd: 0.338 0.838 0.500
Pd: 0.374 0.655 0.719
Pd: 0.626 0.345 0.281
Pd: 0.662 0.162 0.500
Pd: 0.794 0.000 0.794
Pd: 0.936 0.655 0.281
Pb: 0.500 0.500 0.000

Summary:
Size of the total moment (μB per formula unit): 0.0
Crystal system: orthorhombic
Space group: Immm, No. 71
E_form (meV/atom): -346
Uncorrected energy (eV/cell): -52.2
Relative energy among the computed polymorphs (eV/atom): 0.067



7.
Ca8PdPt2 | PBE-GGA | optimized geometry

abc: 7.843 7.843 6.086
angles: 99.44 99.44 111.41
Fractional coordinates of all 11 atoms:
Ca: 0.000 0.000 0.000
Ca: 0.027 0.294 0.586
Ca: 0.137 0.582 0.188
Ca: 0.294 0.027 0.586
Ca: 0.433 0.697 0.774
Ca: 0.582 0.137 0.188
Ca: 0.697 0.433 0.774
Ca: 0.729 0.729 0.390
Pd: 0.360 0.360 0.362
Pt: 0.052 0.682 0.698
Pt: 0.682 0.052 0.698

Summary:
Size of the total moment (μB per formula unit): 0.0
Crystal system: monoclinic
Space group: Cm, No. 8
E_form (meV/atom): -543
Uncorrected energy (eV/cell): -39.3



8.
Bi2HOsO6 | PBE-GGA | optimized geometry

abc: 5.585 4.348 11.335
angles: 90.00 115.80 90.00
Fractional coordinates of all 20 atoms:
Bi: 0.186 0.045 0.187
Bi: 0.186 0.455 0.687
Bi: 0.814 0.545 0.313
Bi: 0.814 0.955 0.813
H: 0.000 0.000 0.500
H: 0.000 0.500 0.000
Os: 0.500 0.000 0.000
Os: 0.500 0.500 0.500
O: 0.124 0.238 0.474
O: 0.124 0.262 0.974
O: 0.220 0.661 0.329
O: 0.220 0.839 0.829
O: 0.417 0.729 0.105
O: 0.417 0.771 0.605
O: 0.583 0.229 0.395
O: 0.583 0.271 0.895
O: 0.780 0.161 0.171
O: 0.780 0.339 0.671
O: 0.876 0.738 0.026
O: 0.876 0.762 0.526

Summary:
Size of the total moment (μB per formula unit): 1.0
Crystal system: monoclinic
Space group: P2_1/c, No. 14
Uncorrected energy (eV/cell): -121.6



9.
Sc8CdAg2 | PBE-GGA | optimized geometry

abc: 7.937 7.937 5.023
angles: 100.87 100.87 118.80
Fractional coordinates of all 11 atoms:
Sc: 0.098 0.325 0.611
Sc: 0.222 0.778 0.000
Sc: 0.325 0.098 0.611
Sc: 0.399 0.399 0.199
Sc: 0.601 0.601 0.801
Sc: 0.675 0.902 0.389
Sc: 0.778 0.222 0.000
Sc: 0.902 0.675 0.389
Cd: 0.000 0.000 0.000
Ag: 0.303 0.697 0.500
Ag: 0.697 0.303 0.500

Summary:
Size of the total moment (μB per formula unit): 0.0
Crystal system: monoclinic
Space group: C2/m, No. 12
E_form (meV/atom): -11
Uncorrected energy (eV/cell): -57.4
Relative energy among the computed polymorphs (eV/atom): 0.106



10.
HfBe8Ru3 | PBE-GGA | optimized geometry

abc: 4.420 4.420 7.289
angles: 90.00 90.00 120.00
Fractional coordinates of all 12 atoms:
Hf: 0.000 0.000 0.000
Be: 0.166 0.332 0.673
Be: 0.166 0.834 0.673
Be: 0.333 0.667 0.437
Be: 0.333 0.667 0.926
Be: 0.503 0.007 0.202
Be: 0.503 0.497 0.202
Be: 0.668 0.834 0.673
Be: 0.993 0.497 0.202
Ru: 0.000 0.000 0.369
Ru: 0.667 0.333 0.500
Ru: 0.667 0.333 0.872

Summary:
Size of the total moment (μB per formula unit): 0.0
Crystal system: trigonal
Space group: P3m1, No. 156
E_form (meV/atom): -403
Uncorrected energy (eV/cell): -72.4



11.
ScVSiTc | PBE-GGA | optimized geometry

abc: 4.379 4.379 4.379
angles: 60.00 60.00 60.00
Fractional coordinates of all 4 atoms:
Sc: 0.000 0.000 0.000
V: 0.750 0.750 0.750
Si: 0.250 0.250 0.250
Tc: 0.500 0.500 0.500

Summary:
Size of the total moment (μB per formula unit): 0.0
Crystal system: cubic
Space group: F-43m, No. 216
Uncorrected energy (eV/cell): -32.7



12.
AcPm3Al | PBE-GGA | optimized geometry

abc: 3.830 9.004 10.020
angles: 103.71 101.01 90.01
Fractional coordinates of all 10 atoms:
Ac: 0.102 0.043 0.200
Ac: 0.898 0.957 0.800
Pm: 0.301 0.198 0.605
Pm: 0.316 0.610 0.632
Pm: 0.500 0.300 0.001
Pm: 0.500 0.700 0.999
Pm: 0.684 0.390 0.368
Pm: 0.699 0.802 0.395
Al: 0.098 0.560 0.196
Al: 0.902 0.440 0.804

Summary:
Size of the total moment (μB per formula unit): 0.0
Crystal system: triclinic
Space group: P-1, No. 2
E_form (meV/atom): -112
Uncorrected energy (eV/cell): -45.3



13.
Y3TlO | PBE-GGA | optimized geometry

abc: 3.698 9.644 7.551
angles: 90.00 104.17 90.00
Fractional coordinates of all 10 atoms:
Y: 0.039 0.250 0.077
Y: 0.362 0.062 0.722
Y: 0.362 0.438 0.722
Y: 0.638 0.562 0.278
Y: 0.638 0.938 0.278
Y: 0.961 0.750 0.923
Tl: 0.279 0.750 0.561
Tl: 0.721 0.250 0.439
O: 0.448 0.250 0.895
O: 0.552 0.750 0.105

Summary:
Size of the total moment (μB per formula unit): 0.0
Crystal system: monoclinic
Space group: P2_1/m, No. 11
Uncorrected energy (eV/cell): -66.5



14.
Ta5Mo2W | PBE-GGA | optimized geometry

abc: 5.538 10.937 4.608
angles: 90.00 90.00 90.00
Fractional coordinates of all 16 atoms:
Ta: 0.000 0.000 0.000
Ta: 0.155 0.257 0.000
Ta: 0.162 0.616 0.500
Ta: 0.338 0.116 0.500
Ta: 0.345 0.757 0.000
Ta: 0.500 0.500 0.000
Ta: 0.655 0.243 0.000
Ta: 0.662 0.884 0.500
Ta: 0.838 0.384 0.500
Ta: 0.845 0.743 0.000
Mo: 0.165 0.876 0.500
Mo: 0.335 0.376 0.500
Mo: 0.665 0.624 0.500
Mo: 0.835 0.124 0.500
W: 0.000 0.500 0.000
W: 0.500 0.000 0.000

Summary:
Size of the total moment (μB per formula unit): 0.0
Crystal system: orthorhombic
Space group: Pbam, No. 55
E_form (meV/atom): -37
Uncorrected energy (eV/cell): -188.3



15.
NiIrSe2 | PBE-GGA | optimized geometry

abc: 3.346 3.346 6.675
angles: 90.00 90.00 90.00
Fractional coordinates of all 4 atoms:
Ni: 0.000 0.000 0.000
Ir: 0.500 0.500 0.775
Se: 0.000 0.000 0.629
Se: 0.500 0.500 0.138

Summary:
Size of the total moment (μB per formula unit): 0.0
Crystal system: tetragonal
Space group: P4mm, No. 99
Uncorrected energy (eV/cell): -21.6



16.
SmDy3N4 | PBE-GGA | optimized geometry

abc: 4.956 4.956 4.956
angles: 90.00 90.00 90.00
Fractional coordinates of all 8 atoms:
Sm: 0.000 0.000 0.000
Dy: 0.000 0.500 0.500
Dy: 0.500 0.000 0.500
Dy: 0.500 0.500 0.000
N: 0.000 0.000 0.500
N: 0.000 0.500 0.000
N: 0.500 0.000 0.000
N: 0.500 0.500 0.500

Summary:
Size of the total moment (μB per formula unit): 0.0
Crystal system: cubic
Space group: Pm-3m, No. 221
Uncorrected energy (eV/cell): -64.9
Relative energy among the computed polymorphs (eV/atom): 0.005



17.
Cd5Cu | PBE-GGA | optimized geometry

abc: 4.707 8.359 8.359
angles: 21.83 90.00 90.00
Fractional coordinates of all 6 atoms:
Cd: 0.000 0.000 0.000
Cd: 0.000 0.311 0.311
Cd: 0.500 0.107 0.107
Cd: 0.500 0.431 0.431
Cd: 0.500 0.760 0.760
Cu: 0.000 0.654 0.654

Summary:
Size of the total moment (μB per formula unit): 0.0
Crystal system: orthorhombic
Space group: Amm2, No. 38
E_form (meV/atom): 59
Uncorrected energy (eV/cell): -8.3
Relative energy among the computed polymorphs (eV/atom): 0.034



18.
Nb2V2Pt | PBE-GGA | optimized geometry

abc: 6.589 6.589 3.743
angles: 90.00 90.00 90.00
Fractional coordinates of all 10 atoms:
Nb: 0.176 0.324 0.000
Nb: 0.324 0.824 0.000
Nb: 0.676 0.176 0.000
Nb: 0.824 0.676 0.000
V: 0.125 0.625 0.500
V: 0.375 0.125 0.500
V: 0.625 0.875 0.500
V: 0.875 0.375 0.500
Pt: 0.000 0.000 0.500
Pt: 0.500 0.500 0.500

Summary:
Size of the total moment (μB per formula unit): 0.0
Crystal system: tetragonal
Space group: P4/mbm, No. 127
E_form (meV/atom): -51
Uncorrected energy (eV/cell): -89.3



19.
LiSiW2 | PBE-GGA | optimized geometry

abc: 2.674 3.983 5.566
angles: 90.00 90.00 90.00
Fractional coordinates of all 4 atoms:
Li: 0.000 0.000 0.000
Si: 0.500 0.500 0.218
W: 0.000 0.000 0.484
W: 0.500 0.500 0.739

Summary:
Size of the total moment (μB per formula unit): 0.0
Crystal system: orthorhombic
Space group: Pmm2, No. 25
Uncorrected energy (eV/cell): -32.2



20.
BeAg4 | PBE-GGA | optimized geometry

abc: 7.614 7.614 7.614
angles: 152.14 152.14 39.81
Fractional coordinates of all 5 atoms:
Be: 0.000 0.000 0.000
Ag: 0.250 0.750 0.500
Ag: 0.408 0.408 0.000
Ag: 0.592 0.592 0.000
Ag: 0.750 0.250 0.500

Summary:
Size of the total moment (μB per formula unit): 0.0
Crystal system: tetragonal
Space group: I4/mmm, No. 139
E_form (meV/atom): 567
Uncorrected energy (eV/cell): -12.3
Relative energy among the computed polymorphs (eV/atom): 0.463